Compound: ZnCu4Sn2Se8
Source: Alexandria via LeMat-Bulk
Functional: PBE-GGA
Structure: optimized geometry

a b c (Å): 6.9689 6.9689 11.3096
angles (deg): 66.10 66.10 48.02
Element x y z (fractional)
Cu 0.7373 0.7548 0.8813
Zn 0.0043 0.9957 0.5000
Se 0.8957 0.3741 0.5544
Se 0.3556 0.8994 0.8256
Se 0.9044 0.3560 0.0475
Se 0.3786 0.8934 0.3090
Se 0.6440 0.0956 0.9525
Se 0.1066 0.6214 0.6910
Sn 0.5008 0.4979 0.7609
Se 0.1006 0.6444 0.1744
Cu 0.2452 0.2627 0.1187
Cu 0.7669 0.7398 0.3692
Sn 0.5021 0.4992 0.2391
Cu 0.2602 0.2331 0.6308
Se 0.6259 0.1043 0.4456

Output
Fermi-level density of states, states/eV per atom: 0.697
Energy relative to the elements, uncorrected, eV per atom: -0.304

Compound: NaHgBr2
Source: Alexandria via LeMat-Bulk
Functional: PBE-GGA
Structure: optimized geometry

a b c (Å): 4.3027 4.3027 7.8492
angles (deg): 74.09 74.09 60.00
Each line ends with the local moment (μB).
Element x y z (fractional)
Hg 0.4995 0.4995 0.5014  0.09
Br 0.2576 0.2576 0.2272  0.04
Na 0.6669 0.6669 0.9992  0.00
Br 0.0759 0.0759 0.7722  0.04

Output
Fermi-level density of states, states/eV per atom: 1.224
Offset from the most stable computed form, meV/atom: 35
Energy relative to the elements, uncorrected, eV per atom: -0.745